PaCu2Sn: relaxed, PBE.

Results
Size of the total moment in μB per atom: 0.00
Crystal system: cubic

Unit cell a=4.7296 b=4.7296 c=4.7296 alpha=60.00 beta=60.00 gamma=60.00
With the nearest neighbours (Å) after each atom.
Positions (direct):
Pa (0.0000, 0.0000, 0.0000)  8 Cu 2.90
Cu (0.2500, 0.2500, 0.2500)  4 Sn 2.90, 4 Pa 2.90
Cu (0.7500, 0.7500, 0.7500)  4 Sn 2.90, 4 Pa 2.90
Sn (0.5000, 0.5000, 0.5000)  8 Cu 2.90

PaCu2Sn: relaxed, PBE.

Results
Size of the total moment in μB per atom: 0.02
Crystal system: orthorhombic

Unit cell a=3.0958 b=4.4104 c=5.8155 alpha=90.00 beta=90.00 gamma=90.00
With the nearest neighbours (Å) after each atom.
Positions (direct):
Pa (0.0000, 0.0000, 0.0000)  8 Cu 2.99, 2 Pa 3.10, 4 Sn 3.29
Cu (0.5000, 0.5000, 0.2227)  1 Cu 2.59, 2 Sn 2.73
Cu (0.5000, 0.5000, 0.7773)  1 Cu 2.59, 2 Sn 2.73
Sn (0.5000, 0.0000, 0.5000)  4 Cu 2.73

Number 1: total DFT energy (no corrections) -5.558 eV per atom. Number 2: total DFT energy (no corrections) -5.425 eV per atom.